[1]
Density functional theory data (PBE-GGA) for crystalline LaPaTeIr at its relaxed geometry.

Unit cell a=8.1651 b=8.1651 c=8.1651 alpha=29.18 beta=29.18 gamma=29.18
With the nearest neighbours (Å) after each atom.
Positions (direct):
1 La 0.0000 0.0000 0.0000  3 Ir 3.01
2 Pa 0.8040 0.8040 0.8040  3 Ir 2.74
3 Te 0.2312 0.2312 0.2312  3 Pa 3.24, 3 La 3.37
4 Ir 0.4122 0.4122 0.4122  3 Pa 2.74, 3 La 3.01

Computed properties:
Energy relative to the elements, uncorrected, eV per atom: -0.9669
V, Å³/atom: 28.625
Crystal system: trigonal
DFT total energy, eV/atom: -7.57
M_tot, μB per cell: 0.00


[2]
Density functional theory data (PBE-GGA) for crystalline Fe2SbPb at its relaxed geometry.

Unit cell a=4.7022 b=4.7022 c=6.4752 alpha=112.91 beta=112.91 gamma=40.16
With the nearest neighbours (Å) after each atom.
Positions (direct):
1 Fe 0.2363 0.2363 0.3514  2 Fe 2.45, 3 Sb 2.64-2.66
2 Fe 0.7637 0.7637 0.6486  2 Fe 2.45, 3 Sb 2.64-2.66
3 Sb 0.0000 0.0000 0.5000  6 Fe 2.64-2.66
4 Pb 0.5000 0.5000 0.0000  4 Fe 2.86

Computed properties:
Energy relative to the elements, uncorrected, eV per atom: 0.3983
V, Å³/atom: 21.007
Crystal system: monoclinic
DFT total energy, eV/atom: -5.79
M_tot, μB per cell: 4.67


[3]
Density functional theory data (PBE-GGA) for crystalline K4PtRh3Se8 at its relaxed geometry.

Unit cell a=8.4547 b=8.4547 c=8.4547 alpha=55.35 beta=55.35 gamma=55.35
With the nearest neighbours (Å) after each atom.
Positions (direct):
1 K 0.0000 0.0000 0.0000  6 Se 3.25
2 K 0.0000 0.5000 0.5000  6 Se 3.27-3.30
3 K 0.5000 0.0000 0.5000  6 Se 3.27-3.30
4 K 0.5000 0.5000 0.0000  6 Se 3.27-3.30
5 Pt 0.5000 0.5000 0.5000  6 Se 2.60
6 Rh 0.0000 0.0000 0.5000  6 Se 2.55-2.57
7 Rh 0.0000 0.5000 0.0000  6 Se 2.55-2.57
8 Rh 0.5000 0.0000 0.0000  6 Se 2.55-2.57
9 Se 0.2165 0.7256 0.7256  2 Rh 2.55, 1 Pt 2.60
10 Se 0.2231 0.2231 0.2231  3 Rh 2.57
11 Se 0.2744 0.2744 0.7835  2 Rh 2.55, 1 Pt 2.60
12 Se 0.2744 0.7835 0.2744  2 Rh 2.55, 1 Pt 2.60
13 Se 0.7256 0.2165 0.7256  2 Rh 2.55, 1 Pt 2.60
14 Se 0.7256 0.7256 0.2165  2 Rh 2.55, 1 Pt 2.60
15 Se 0.7769 0.7769 0.7769  3 Rh 2.57
16 Se 0.7835 0.2744 0.2744  2 Rh 2.55, 1 Pt 2.60

Computed properties:
Energy relative to the elements, uncorrected, eV per atom: -0.6818
V, Å³/atom: 23.823
Crystal system: trigonal
DFT total energy, eV/atom: -4.45
M_tot, μB per cell: 0.00


[4]
Density functional theory data (PBE-GGA) for crystalline Cs5Bi at its relaxed geometry.

Unit cell a=10.5970 b=10.5970 c=6.6097 alpha=90.00 beta=90.00 gamma=144.65
With the nearest neighbours (Å) after each atom.
Positions (direct):
1 Cs 0.0000 0.0000 0.0000  8 Cs 4.23-4.25, 4 Bi 4.61
2 Cs 0.1309 0.8691 0.5000  2 Bi 4.16, 6 Cs 4.23-4.61
3 Cs 0.3624 0.6376 0.0000  6 Cs 4.25-4.61, 2 Bi 4.32
4 Cs 0.6376 0.3624 0.0000  6 Cs 4.25-4.61, 2 Bi 4.32
5 Cs 0.8691 0.1309 0.5000  2 Bi 4.16, 6 Cs 4.23-4.61
6 Bi 0.5000 0.5000 0.5000  12 Cs 4.16-4.61

Computed properties:
V, Å³/atom: 71.567
Crystal system: orthorhombic
Calculated formation energy, meV per atom: -144
DFT total energy, eV/atom: -1.50
M_tot, μB per cell: 0.00


no.,DOS at the Fermi energy (states/eV per atom)
1,1.13
2,0.83
3,0.26
4,0.64